# 1
Here is crystalline ThCu12 at its relaxed geometry from the Alexandria database. Energies are from GGA-PBE.

extended XYZ file:
```
13
Lattice="-4.265 4.265 2.437 4.265 -4.265 2.437 4.265 4.265 -2.437" Properties=species:S:1:pos:R:3 pbc="T T T"
Th 0.000 0.000 0.000
Cu 2.132 2.132 -1.219
Cu 3.035 0.000 0.000
Cu 2.132 -2.132 1.219
Cu 5.494 0.000 0.000
Cu 4.265 2.338 0.000
Cu 0.000 3.035 0.000
Cu -2.132 2.132 1.219
Cu 2.338 4.265 0.000
Cu 2.132 2.132 1.219
Cu 1.927 0.000 2.437
Cu 0.000 5.494 0.000
Cu 0.000 1.927 2.437
```

Summary:
calculated formation energy = -1.56 kcal/mol of atoms
symmetry = I4/mmm, No. 139

# 2
Here is crystalline Th2Cu at its relaxed geometry from the Alexandria database. Energies are from GGA-PBE.

extended XYZ file:
```
3
Lattice="5.342 0.000 0.000 -2.671 4.627 0.000 0.000 0.000 3.108" Properties=species:S:1:pos:R:3 pbc="T T T"
Th 0.000 3.084 0.000
Th 2.671 1.542 0.000
Cu 0.000 0.000 1.554
```

Summary:
calculated formation energy = 11.42 kcal/mol of atoms
symmetry = P6/mmm, No. 191

# 3
Here is crystalline ThCu13 at its relaxed geometry from the Alexandria database. Energies are from GGA-PBE.

extended XYZ file:
```
28
Lattice="0.000 5.774 5.774 5.774 0.000 5.774 5.774 5.774 0.000" Properties=species:S:1:pos:R:3 pbc="T T T"
Th 2.887 2.887 2.887
Th 8.661 8.661 8.661
Cu 0.000 0.000 0.000
Cu 5.774 4.413 2.078
Cu 9.471 5.774 4.413
Cu 7.135 2.078 5.774
Cu 7.135 5.774 3.697
Cu 5.774 3.697 4.413
Cu 7.852 4.413 5.774
Cu 5.774 7.135 2.078
Cu 4.413 2.078 5.774
Cu 9.471 5.774 7.135
Cu 4.413 5.774 3.697
Cu 7.852 7.135 5.774
Cu 5.774 3.697 7.135
Cu 5.774 5.774 5.774
Cu 5.774 7.852 4.413
Cu 3.697 4.413 5.774
Cu 7.135 5.774 7.852
Cu 2.078 5.774 4.413
Cu 7.135 9.471 5.774
Cu 5.774 4.413 9.471
Cu 3.697 7.135 5.774
Cu 5.774 7.852 7.135
Cu 4.413 5.774 7.852
Cu 4.413 9.471 5.774
Cu 2.078 5.774 7.135
Cu 5.774 7.135 9.471
```

Summary:
calculated formation energy = -1.04 kcal/mol of atoms
symmetry = Fm-3c, No. 226

# 4
Here is crystalline ThCu2 at its relaxed geometry from the Alexandria database. Energies are from GGA-PBE.

extended XYZ file:
```
3
Lattice="4.373 0.000 0.000 -2.186 3.787 0.000 0.000 0.000 3.542" Properties=species:S:1:pos:R:3 pbc="T T T"
Th 0.000 0.000 0.000
Cu 0.000 2.525 1.771
Cu 2.186 1.262 1.771
```

Summary:
calculated formation energy = -4.62 kcal/mol of atoms
symmetry = P6/mmm, No. 191

# 5
Here is crystalline Th5Cu6 at its relaxed geometry from the Alexandria database. Energies are from GGA-PBE.

extended XYZ file:
```
11
Lattice="2.130 -15.463 0.000 2.130 15.463 0.000 0.000 0.000 3.685" Properties=species:S:1:pos:R:3 pbc="T T T"
Th 0.000 0.000 0.000
Th 2.130 9.483 1.842
Th 2.130 3.656 0.000
Th 2.130 -3.656 0.000
Th 2.130 -9.483 1.842
Cu 2.130 12.858 1.842
Cu 2.130 6.995 0.000
Cu 2.130 1.246 1.842
Cu 2.130 -1.246 1.842
Cu 2.130 -6.995 0.000
Cu 2.130 -12.858 1.842
```

Summary:
calculated formation energy = -3.32 kcal/mol of atoms
symmetry = Cmmm, No. 65

# 6
Here is crystalline Th2Cu17 at its relaxed geometry from the Alexandria database. Energies are from GGA-PBE.

extended XYZ file:
```
19
Lattice="4.314 2.491 4.195 -4.314 2.491 4.195 0.000 -4.982 4.195" Properties=species:S:1:pos:R:3 pbc="T T T"
Th 0.000 0.000 1.966
Th 0.000 0.000 10.620
Cu -2.157 -1.245 4.195
Cu 0.000 -2.486 4.027
Cu -2.153 1.243 4.027
Cu -1.261 -2.185 6.293
Cu -2.523 0.000 6.293
Cu -2.153 -1.243 8.559
Cu 0.000 0.000 5.055
Cu -2.157 1.245 8.390
Cu 1.261 -2.185 6.293
Cu 0.000 2.491 4.195
Cu -1.261 2.185 6.293
Cu 0.000 0.000 7.531
Cu 2.153 1.243 4.027
Cu 2.523 0.000 6.293
Cu 1.261 2.185 6.293
Cu 2.153 -1.243 8.559
Cu 0.000 2.486 8.559
```

Summary:
calculated formation energy = -2.08 kcal/mol of atoms
symmetry = R-3m, No. 166

# 7
Here is crystalline Th14Cu51 at its relaxed geometry from the Alexandria database. Energies are from GGA-PBE.

extended XYZ file:
```
65
Lattice="11.847 0.000 0.000 -5.924 10.260 0.000 0.000 0.000 8.853" Properties=species:S:1:pos:R:3 pbc="T T T"
Th 0.000 0.000 1.763
Th 0.000 0.000 7.090
Th -2.864 7.366 4.427
Th -1.057 4.842 0.000
Th 0.977 4.096 4.427
Th -1.202 8.754 0.000
Th 3.718 1.158 4.427
Th 3.694 3.387 0.000
Th 2.259 6.924 0.000
Th 1.888 9.057 4.427
Th 7.067 1.505 0.000
Th 5.067 6.461 4.427
Th 7.010 5.368 0.000
Th 8.985 2.641 4.427
Cu -4.941 9.198 4.427
Cu -4.136 8.361 0.000
Cu -0.653 2.784 2.234
Cu -0.653 2.784 6.619
Cu -2.725 6.802 1.545
Cu -2.725 6.802 7.308
Cu 0.429 1.382 4.427
Cu -1.603 5.049 3.044
Cu -1.603 5.049 5.810
Cu 0.750 2.498 0.000
Cu -3.186 9.433 2.234
Cu -3.186 9.433 6.619
Cu 2.502 0.604 0.000
Cu 1.998 2.098 2.228
Cu 1.998 2.098 6.625
Cu 0.000 6.840 2.010
Cu 0.000 6.840 4.427
Cu 0.000 6.840 6.843
Cu 1.395 4.499 1.545
Cu 1.395 4.499 7.308
Cu -0.749 9.124 3.044
Cu -0.749 9.124 5.810
Cu 4.466 1.047 1.586
Cu 4.466 1.047 7.267
Cu 3.676 3.995 3.079
Cu 3.676 3.995 5.774
Cu 2.353 6.347 3.044
Cu 2.353 6.347 5.810
Cu 1.330 9.218 1.545
Cu 1.330 9.218 7.308
Cu 6.549 1.186 3.079
Cu 6.549 1.186 5.774
Cu 5.924 3.420 2.006
Cu 5.924 3.420 4.427
Cu 5.924 3.420 6.848
Cu 4.598 5.869 1.586
Cu 4.598 5.869 7.267
Cu 3.839 8.302 2.234
Cu 3.839 8.302 6.619
Cu 3.385 9.661 0.000
Cu 9.031 0.682 2.228
Cu 9.031 0.682 6.625
Cu 5.196 7.791 0.000
Cu 4.513 9.940 4.427
Cu 7.545 5.079 3.079
Cu 7.545 5.079 5.774
Cu 8.707 3.344 1.586
Cu 8.707 3.344 7.267
Cu 6.741 7.481 2.228
Cu 6.741 7.481 6.625
Cu 10.073 1.865 0.000
```

Summary:
calculated formation energy = -3.93 kcal/mol of atoms
symmetry = P-6, No. 174

# 8
Here is crystalline Th3Cu2 at its relaxed geometry from the Alexandria database. Energies are from GGA-PBE.

extended XYZ file:
```
10
Lattice="0.000 11.304 1.781 6.184 0.000 1.781 6.184 11.304 0.000" Properties=species:S:1:pos:R:3 pbc="T T T"
Th 0.000 0.000 0.000
Th 7.197 8.027 1.040
Th 3.092 5.652 0.890
Th 8.264 13.680 1.931
Th 5.172 14.581 1.040
Th 4.105 8.929 1.931
Cu 8.638 10.651 1.916
Cu 11.731 17.610 2.807
Cu 3.731 11.958 1.916
Cu 6.823 16.303 2.807
```

Summary:
calculated formation energy = 0.25 kcal/mol of atoms
symmetry = Fdd2, No. 43

# 9
Here is crystalline ThTiCu at its relaxed geometry from the Alexandria database. Energies are from GGA-PBE.

extended XYZ file:
```
3
Lattice="4.315 0.000 0.000 -2.158 3.737 0.000 0.000 0.000 4.092" Properties=species:S:1:pos:R:3 pbc="T T T"
Th 0.000 0.000 0.000
Ti 0.000 2.491 2.046
Cu 2.158 1.246 2.046
```

Summary:
calculated formation energy = 2.61 kcal/mol of atoms
symmetry = P-6m2, No. 187

# 10
Here is crystalline ThTiCu at its relaxed geometry from the Alexandria database. Energies are from GGA-PBE.

extended XYZ file:
```
6
Lattice="12.895 0.000 0.000 0.000 1.709 2.946 0.000 -1.709 2.946" Properties=species:S:1:pos:R:3 pbc="T T T"
Th 2.296 0.000 0.000
Th 10.598 0.000 0.000
Ti 4.785 0.000 1.973
Ti 8.109 0.000 1.973
Cu 0.000 0.000 1.976
Cu 6.447 0.000 0.003
```

Summary:
calculated formation energy = 6.58 kcal/mol of atoms
symmetry = Amm2, No. 38

# 11
Here is crystalline Th2TiZn12Cu3 at its relaxed geometry from the Alexandria database. Energies are from GGA-PBE.

extended XYZ file:
```
18
Lattice="2.963 1.711 10.783 -2.963 1.711 10.783 0.000 -3.421 10.783" Properties=species:S:1:pos:R:3 pbc="T T T"
Th 0.000 0.000 4.604
Th 0.000 0.000 27.747
Ti 0.000 0.000 16.175
Zn -1.598 -0.923 14.197
Zn 0.000 -1.920 12.429
Zn -1.663 0.960 12.429
Zn -1.663 -0.960 19.921
Zn 0.000 -1.845 18.153
Zn -1.598 0.923 18.153
Zn 1.598 -0.923 14.197
Zn 0.000 1.845 14.197
Zn 1.663 0.960 12.429
Zn 1.663 -0.960 19.921
Zn 0.000 1.920 19.921
Zn 1.598 0.923 18.153
Cu -1.481 -0.855 10.783
Cu -1.481 0.855 21.567
Cu 0.000 1.711 10.783
```

Summary:
calculated formation energy = 1.03 kcal/mol of atoms
symmetry = R-3m, No. 166

# 12
Here is crystalline ThZrTiCu at its relaxed geometry from the Alexandria database. Energies are from GGA-PBE.

extended XYZ file:
```
4
Lattice="0.000 3.475 3.475 3.475 0.000 3.475 3.475 3.475 0.000" Properties=species:S:1:pos:R:3 pbc="T T T"
Th 0.000 0.000 0.000
Zr 3.475 3.475 3.475
Ti 5.213 5.213 5.213
Cu 1.738 1.738 1.738
```

Summary:
calculated formation energy = 2.17 kcal/mol of atoms
symmetry = F-43m, No. 216

| no. | total magnetization (Bohr magnetons per cell) | E (eV per atom) |
| --- | --- | --- |
| 1 | 0.0 | -4.42 |
| 2 | 0.0 | -5.82 |
| 3 | 0.0 | -4.38 |
| 4 | 0.0 | -5.40 |
| 5 | 0.0 | -5.75 |
| 6 | 0.0 | -4.54 |
| 7 | 0.0 | -4.98 |
| 8 | 0.0 | -6.08 |
| 9 | 0.0 | -6.36 |
| 10 | 0.0 | -6.18 |
| 11 | 0.1 | -2.75 |
| 12 | 0.6 | -6.90 |